The following is a GGA-PBE calculation of a relaxed structure of Ca2Ga4C, from Alexandria.

Calculated values
V   305.3 Å³/cell
Energy relative to the elements   13 kJ/mol of atoms
Spin magnetization   0.00 μB per cell
VASP energy   -3.4804 eV per atom

Cell lengths 4.446, 4.446, 15.443 Å; angles 90.00, 90.00, 90.00 degrees
Space group I4/mmm (No. 139)
Symmetry-distinct sites (fractional):
Ca  0.000  0.000  0.167
Ga  0.000  0.000  0.365
Ga  0.000  0.500  0.000
C  0.000  0.000  0.500



The following is a GGA-PBE calculation of a relaxed structure of CaGa3C, from Alexandria.

Calculated values
Excess energy over the best structure of this formula in the dataset   1495 meV per atom
V   180.6 Å³/cell
Energy relative to the elements   195 kJ/mol of atoms
Spin magnetization   0.93 μB per cell
VASP energy   -2.0445 eV per atom

Cell lengths 5.652, 5.652, 5.652 Å; angles 90.00, 90.00, 90.00 degrees
Space group Pm-3m (No. 221)
Symmetry-distinct sites (fractional):
Ca  0.000  0.000  0.000
Ga  0.000  0.000  0.500
C  0.500  0.500  0.500



The following is a GGA-PBE calculation of a relaxed structure of Ca2GaIrC, from Alexandria.

Calculated values
V   100.3 Å³/cell
Energy relative to the elements   -30 kJ/mol of atoms
Spin magnetization   0.00 μB per cell
VASP energy   -5.3356 eV per atom

Cell lengths 5.087, 5.087, 3.878 Å; angles 90.00, 90.00, 90.00 degrees
Space group P4/mmm (No. 123)
Symmetry-distinct sites (fractional):
Ca  0.000  0.500  0.000
Ga  0.000  0.000  0.500
Ir  0.500  0.500  0.500
C  0.500  0.500  0.000



The following is a GGA-PBE calculation of a relaxed structure of CaGa2IrC, from Alexandria.

Calculated values
V   88.3 Å³/cell
Energy relative to the elements   26 kJ/mol of atoms
Spin magnetization   0.00 μB per cell
VASP energy   -4.9608 eV per atom

Cell lengths 4.718, 4.718, 3.968 Å; angles 90.00, 90.00, 90.00 degrees
Space group P4/mmm (No. 123)
Symmetry-distinct sites (fractional):
Ca  0.000  0.000  0.000
Ga  0.000  0.500  0.500
Ir  0.500  0.500  0.000
C  0.500  0.500  0.500